Material: Si5Pt6
Method: DFT, PBEsol
State: optimized geometry

Results
* DFT total energy: -7.15 eV per atom
* SG: P2_1/m, No. 11

Cell: 3.5113 6.1467 15.4063 Å, 93.67 90.00 90.00°
Fractional coordinates of all 22 atoms:
1 Pt 0.2500 0.1572 0.8266
2 Pt 0.2500 0.4934 0.7191
3 Pt 0.2500 0.2183 0.1789
4 Pt 0.7500 0.0252 0.5759
5 Pt 0.7500 0.7817 0.8211
6 Pt 0.2500 0.6483 0.5511
7 Pt 0.7500 0.8428 0.1734
8 Pt 0.2500 0.3049 0.0022
9 Pt 0.7500 0.5066 0.2809
10 Pt 0.2500 0.9748 0.4241
11 Pt 0.7500 0.6951 0.9978
12 Pt 0.7500 0.3517 0.4489
13 Si 0.2500 0.9337 0.0640
14 Si 0.7500 0.0663 0.9360
15 Si 0.7500 0.7231 0.4256
16 Si 0.7500 0.7300 0.6646
17 Si 0.2500 0.8151 0.2796
18 Si 0.7500 0.1849 0.7204
19 Si 0.2500 0.2700 0.3354
20 Si 0.7500 0.4449 0.1192
21 Si 0.2500 0.2769 0.5744
22 Si 0.2500 0.5551 0.8808